DFT (GGA-PBE) results for a geometry-optimized ZrMoC structure.

Properties
electronic total energy	-7.473	eV/atom
calculated volume	17.27	Å³/atom
SG	F-43m, No. 216
ρ	6.4	Mg/m³
energy relative to the lowest polymorph listed for this composition	7.16	eV per formula unit

Cell lengths 4.1845, 4.1845, 4.1845 Å; angles 60.00, 60.00, 60.00 degrees
Last column: nearest neighbours and their distance in Å.
Sites, in units of the cell vectors:
Zr (0.0000, 0.0000, 0.0000)  4 Mo 2.56, 4 C 2.56
Mo (0.7500, 0.7500, 0.7500)  4 Zr 2.56
C (0.2500, 0.2500, 0.2500)  4 Zr 2.56



DFT (GGA-PBE) results for a geometry-optimized CrTe structure.

Properties
electronic total energy	-5.632	eV/atom
calculated volume	23.27	Å³/atom
SG	Fd-3m, No. 227
ρ	6.4	Mg/m³
ΔE_f (raw)	0.751	eV/atom

Cell lengths 5.0871, 5.0871, 5.0871 Å; angles 60.00, 60.00, 60.00 degrees
Last column: nearest neighbours and their distance in Å.
Sites, in units of the cell vectors:
Cr (0.1250, 0.1250, 0.1250)  4 Cr 3.12, 4 Te 3.12
Cr (0.8750, 0.8750, 0.8750)  4 Cr 3.12, 4 Te 3.12
Te (0.3750, 0.3750, 0.3750)  4 Cr 3.12, 4 Te 3.12
Te (0.6250, 0.6250, 0.6250)  4 Te 3.12, 4 Cr 3.12



DFT (GGA-PBE) results for a geometry-optimized CaGeAsBr2 structure.

Properties
electronic total energy	-3.074	eV/atom
calculated volume	34.64	Å³/atom
SG	P4/mmm, No. 123
ρ	3.3	Mg/m³
energy relative to the lowest polymorph listed for this composition	1.33	eV per formula unit
ΔE_f (raw)	-0.151	eV/atom

Cell lengths 5.3538, 5.3538, 6.0423 Å; angles 90.00, 90.00, 90.00 degrees
Last column: nearest neighbours and their distance in Å.
Sites, in units of the cell vectors:
Ca (0.0000, 0.0000, 0.0000)  4 Br 2.68
Ge (0.5000, 0.5000, 0.5000)  4 As 3.79, 8 Br 4.04
As (0.0000, 0.0000, 0.5000)  2 Ca 3.02
Br (0.0000, 0.5000, 0.0000)  2 Ca 2.68
Br (0.5000, 0.0000, 0.0000)  2 Ca 2.68



DFT (GGA-PBE) results for a geometry-optimized YBe2Mo structure.

Properties
electronic total energy	-5.855	eV/atom
calculated volume	14.96	Å³/atom
SG	P4mm, No. 99
ρ	5.6	Mg/m³
energy relative to the lowest polymorph listed for this composition	1.08	eV per formula unit

Cell lengths 2.8491, 2.8491, 7.3695 Å; angles 90.00, 90.00, 90.00 degrees
Last column: nearest neighbours and their distance in Å.
Sites, in units of the cell vectors:
Y (0.0000, 0.0000, 0.0000)  4 Y 2.85, 4 Be 2.98
Be (0.0000, 0.0000, 0.4340)  4 Be 2.25
Be (0.5000, 0.5000, 0.2972)  4 Be 2.25
Mo (0.5000, 0.5000, 0.6557)  5 Be 2.59-2.64, 4 Mo 2.85